# 1
The following is a DFT calculation (GGA-PBEsol) of Ni3OF5 after structural relaxation.

Computed properties:
Magnetization: 13.45 μB/cell
Calculated density: 5.01 g/cm3
Symmetry: No. 38
ΔE to the lowest computed polymorph: 0.04 eV per formula unit

Unit cell a=4.575 b=4.575 c=9.091 alpha=90.00 beta=90.00 gamma=92.01
Last column: magnetic moment on the atom in μB.
Fractional coordinates of all 18 atoms:
F 0.698 0.304 0.834  0.16
F 0.817 0.817 0.000  0.13
F 0.690 0.298 0.500  0.17
F 0.793 0.793 0.336  0.13
F 0.698 0.304 0.166  0.16
F 0.298 0.690 0.500  0.17
F 0.304 0.698 0.834  0.16
F 0.793 0.793 0.664  0.13
F 0.204 0.204 0.000  0.15
F 0.304 0.698 0.166  0.16
O 0.193 0.193 0.335  0.58
O 0.193 0.193 0.665  0.58
Ni 0.018 0.018 0.500  1.73
Ni 0.013 0.013 0.824  1.75
Ni 0.510 0.510 0.000  1.70
Ni 0.479 0.479 0.667  1.72
Ni 0.479 0.479 0.333  1.72
Ni 0.013 0.013 0.176  1.75

***

# 2
The following is a DFT calculation (GGA-PBEsol) of TbAlPt after structural relaxation.

Computed properties:
Magnetization: 0.00 μB/cell
Calculated density: 10.97 g/cm3
Symmetry: No. 62
E_form: -110 kJ/mol of atoms

Unit cell a=4.370 b=6.865 c=7.691 alpha=90.00 beta=90.00 gamma=90.00
Fractional coordinates of all 12 atoms:
Pt 0.750 0.227 0.114
Pt 0.250 0.773 0.886
Pt 0.750 0.727 0.386
Pt 0.250 0.273 0.614
Al 0.250 0.145 0.935
Al 0.250 0.645 0.565
Al 0.750 0.355 0.435
Al 0.750 0.855 0.065
Tb 0.250 0.028 0.318
Tb 0.750 0.972 0.682
Tb 0.750 0.472 0.818
Tb 0.250 0.528 0.182